No. 1
{
  "formula": "KFeO2",
  "functional": "PBE+U",
  "state": "relaxed",
  "n_ef_per_ev_cell": 0.00,
  "dft_energy_ev_per_cell": -88.9,
  "space_group": "P2/c",
  "lattice_angstrom": [[-4.004, -3.706, -0.559], [1.290, -0.508, -5.879], [4.670, -6.020, 6.460]],
  "species": ["O", "O", "O", "O", "O", "O", "O", "O", "Fe", "Fe", "Fe", "Fe", "K", "K", "K", "K"],
  "frac_coords": [[0.800, 0.746, 0.666], [0.200, 0.746, 0.166], [0.794, 0.040, 0.081], [0.206, 0.960, 0.919], [0.206, 0.040, 0.581], [0.794, 0.960, 0.419], [0.800, 0.254, 0.834], [0.200, 0.254, 0.334], [0.857, 0.020, 0.620], [0.143, 0.980, 0.380], [0.143, 0.020, 0.120], [0.857, 0.980, 0.880], [0.703, 0.636, 0.127], [0.297, 0.364, 0.873], [0.297, 0.636, 0.627], [0.703, 0.364, 0.373]]
}

---

No. 2
{
  "formula": "KFeO2",
  "functional": "PBE+U",
  "state": "relaxed",
  "n_ef_per_ev_cell": 0.00,
  "dft_energy_ev_per_cell": -364.6,
  "space_group": "Pbca",
  "lattice_angstrom": [[5.712, 0.000, 0.000], [0.000, 11.434, 0.000], [0.000, 0.000, 16.270]],
  "species": ["O", "O", "O", "O", "O", "O", "O", "O", "O", "O", "O", "O", "O", "O", "O", "O", "O", "O", "O", "O", "O", "O", "O", "O", "O", "O", "O", "O", "O", "O", "O", "O", "K", "K", "K", "K", "K", "K", "K", "K", "K", "K", "K", "K", "K", "K", "K", "K", "Fe", "Fe", "Fe", "Fe", "Fe", "Fe", "Fe", "Fe", "Fe", "Fe", "Fe", "Fe", "Fe", "Fe", "Fe", "Fe"],
  "frac_coords": [[0.573, 0.477, 0.215], [0.293, 0.171, 0.160], [0.404, 0.792, 0.478], [0.337, 0.915, 0.098], [0.163, 0.085, 0.598], [0.904, 0.792, 0.022], [0.096, 0.208, 0.978], [0.207, 0.671, 0.160], [0.927, 0.977, 0.215], [0.663, 0.415, 0.402], [0.427, 0.977, 0.285], [0.073, 0.477, 0.285], [0.073, 0.023, 0.785], [0.404, 0.708, 0.978], [0.337, 0.585, 0.598], [0.596, 0.208, 0.522], [0.293, 0.329, 0.660], [0.663, 0.085, 0.902], [0.427, 0.523, 0.785], [0.707, 0.829, 0.840], [0.707, 0.671, 0.340], [0.793, 0.329, 0.840], [0.793, 0.171, 0.340], [0.837, 0.915, 0.402], [0.904, 0.708, 0.522], [0.837, 0.585, 0.902], [0.207, 0.829, 0.660], [0.573, 0.023, 0.715], [0.596, 0.292, 0.022], [0.163, 0.415, 0.098], [0.927, 0.523, 0.715], [0.096, 0.292, 0.478], [0.808, 0.267, 0.184], [0.692, 0.733, 0.684], [0.308, 0.267, 0.316], [0.252, 0.009, 0.439], [0.808, 0.233, 0.684], [0.752, 0.491, 0.561], [0.692, 0.767, 0.184], [0.748, 0.509, 0.061], [0.252, 0.491, 0.939], [0.248, 0.991, 0.939], [0.248, 0.509, 0.439], [0.748, 0.991, 0.561], [0.192, 0.767, 0.316], [0.192, 0.733, 0.816], [0.752, 0.009, 0.061], [0.308, 0.233, 0.816], [0.212, 0.766, 0.065], [0.753, 0.990, 0.811], [0.253, 0.510, 0.189], [0.753, 0.510, 0.311], [0.288, 0.266, 0.065], [0.212, 0.734, 0.565], [0.788, 0.266, 0.435], [0.747, 0.490, 0.811], [0.253, 0.990, 0.689], [0.288, 0.234, 0.565], [0.712, 0.734, 0.935], [0.747, 0.010, 0.311], [0.247, 0.490, 0.689], [0.788, 0.234, 0.935], [0.712, 0.766, 0.435], [0.247, 0.010, 0.189]]
}

---

No. 3
{
  "formula": "KFeO2",
  "functional": "PBE+U",
  "state": "relaxed",
  "n_ef_per_ev_cell": 0.00,
  "dft_energy_ev_per_cell": -18.1,
  "space_group": "Fm-3m",
  "lattice_angstrom": [[0.000, 2.888, 2.888], [2.888, 0.000, 2.888], [2.888, 2.888, 0.000]],
  "species": ["O", "O", "K", "Fe"],
  "frac_coords": [[0.250, 0.250, 0.250], [0.750, 0.750, 0.750], [0.000, 0.000, 0.000], [0.500, 0.500, 0.500]]
}

---

No. 4
{
  "formula": "K5Fe2O5",
  "functional": "PBE+U",
  "state": "relaxed",
  "dft_energy_ev_per_cell": -56.6,
  "space_group": "C2/m",
  "lattice_angstrom": [[3.510, 0.000, 0.000], [-1.755, 6.970, 0.432], [0.000, 2.321, 8.812]],
  "species": ["O", "O", "O", "O", "O", "K", "K", "K", "K", "K", "Fe", "Fe"],
  "frac_coords": [[0.613, 0.226, 0.699], [0.387, 0.774, 0.301], [0.100, 0.200, 0.257], [0.000, 0.000, 0.000], [0.900, 0.800, 0.743], [0.637, 0.275, 0.004], [0.500, 0.000, 0.500], [0.279, 0.557, 0.652], [0.721, 0.443, 0.348], [0.363, 0.725, 0.996], [0.030, 0.059, 0.776], [0.970, 0.941, 0.224]]
}

---

No. 5
{
  "formula": "K3Fe2O4",
  "functional": "PBE+U",
  "state": "relaxed",
  "n_ef_per_ev_cell": 3.43,
  "dft_energy_ev_per_cell": -93.8,
  "e_above_lowest_polymorph_mev_per_atom": 20,
  "space_group": "Fddd",
  "lattice_angstrom": [[10.347, -0.001, 0.000], [7.113, 5.677, 0.000], [3.234, -2.428, 5.132]],
  "species": ["Fe", "Fe", "Fe", "Fe", "O", "O", "O", "O", "O", "O", "O", "O", "K", "K", "K", "K", "K", "K"],
  "frac_coords": [[0.808, 0.808, 0.192], [0.192, 0.192, 0.808], [0.442, 0.442, 0.058], [0.058, 0.058, 0.442], [0.568, 0.932, 0.568], [0.318, 0.682, 0.318], [0.932, 0.568, 0.932], [0.125, 0.625, 0.125], [0.125, 0.125, 0.125], [0.125, 0.125, 0.625], [0.625, 0.125, 0.125], [0.682, 0.318, 0.682], [0.250, 0.250, 0.250], [0.641, 0.641, 0.859], [0.859, 0.859, 0.641], [0.391, 0.391, 0.609], [0.000, 0.000, 0.000], [0.609, 0.609, 0.391]]
}

---

No. 6
{
  "formula": "KFe3O",
  "functional": "PBE+U",
  "state": "relaxed",
  "n_ef_per_ev_cell": 1.09,
  "dft_energy_ev_per_cell": -10.9,
  "space_group": "Pm-3m",
  "lattice_angstrom": [[5.034, 0.000, 0.000], [0.000, 5.034, 0.000], [0.000, 0.000, 5.034]],
  "species": ["Fe", "Fe", "Fe", "K", "O"],
  "frac_coords": [[0.000, 0.500, 0.000], [0.500, 0.000, 0.000], [0.000, 0.000, 0.500], [0.000, 0.000, 0.000], [0.500, 0.500, 0.500]]
}

---

No. 7
{
  "formula": "K7Fe5O16",
  "functional": "PBE+U",
  "state": "relaxed",
  "n_ef_per_ev_cell": 5.06,
  "dft_energy_ev_per_cell": -145.4,
  "space_group": "Pm",
  "lattice_angstrom": [[-4.339, -1.821, 3.278], [6.023, -4.958, 5.218], [1.467, 8.277, 6.539]],
  "species": ["K", "K", "K", "K", "K", "K", "K", "Fe", "Fe", "Fe", "Fe", "Fe", "O", "O", "O", "O", "O", "O", "O", "O", "O", "O", "O", "O", "O", "O", "O", "O"],
  "frac_coords": [[0.500, 0.844, 0.090], [0.000, 0.459, 0.066], [0.000, 0.653, 0.571], [0.500, 0.005, 0.642], [0.500, 0.384, 0.382], [0.000, 0.046, 0.339], [0.500, 0.471, 0.815], [0.500, 0.234, 0.077], [0.000, 0.771, 0.904], [0.000, 0.246, 0.622], [0.000, 0.120, 0.916], [0.500, 0.746, 0.432], [0.000, 0.401, 0.694], [0.500, 0.402, 0.139], [0.766, 0.223, 0.533], [0.500, 0.616, 0.542], [0.747, 0.226, 0.964], [0.253, 0.226, 0.964], [0.500, 0.120, 0.208], [0.734, 0.847, 0.452], [0.234, 0.223, 0.533], [0.000, 0.110, 0.736], [0.500, 0.671, 0.293], [0.266, 0.847, 0.452], [0.000, 0.938, 0.992], [0.766, 0.672, 0.943], [0.000, 0.826, 0.756], [0.234, 0.672, 0.943]]
}

---

No. 8
{
  "formula": "KFe2O3",
  "functional": "PBE+U",
  "state": "relaxed",
  "dft_energy_ev_per_cell": -66.6,
  "space_group": "C2/m",
  "lattice_angstrom": [[0.315, -3.304, -0.715], [2.510, -0.998, 5.721], [-9.865, 0.623, 0.827]],
  "species": ["K", "K", "O", "O", "O", "O", "O", "O", "Fe", "Fe", "Fe", "Fe"],
  "frac_coords": [[0.354, 0.158, 0.708], [0.646, 0.842, 0.292], [0.231, 0.292, 0.463], [0.409, 0.645, 0.819], [0.769, 0.708, 0.537], [0.053, 0.908, 0.105], [0.591, 0.355, 0.181], [0.947, 0.092, 0.895], [0.304, 0.611, 0.607], [0.050, 0.209, 0.101], [0.950, 0.791, 0.899], [0.696, 0.389, 0.393]]
}

---

What is the formula in the seventh record? K7Fe5O16

---

What is the formula in the second record? KFeO2